# PBE-GGA MgScFePb, relaxed
data_MgScFePb
_chemical_formula_sum 'Mg4 Sc4 Fe4 Pb4'
_cell_length_a 6.7612
_cell_length_b 6.7612
_cell_length_c 6.7612
_cell_angle_alpha 90.00
_cell_angle_beta 90.00
_cell_angle_gamma 90.00
_space_group_name_H-M_alt 'F -4 3 m'
_space_group_IT_number 216
_space_group_name_Hall 'F -4 2 3'
loop_
_atom_site_label
_atom_site_fract_x
_atom_site_fract_y
_atom_site_fract_z
Mg1 0.0000 0.0000 0.0000
Sc1 0.2500 0.2500 0.2500
Fe1 0.2500 0.2500 0.7500
Pb1 0.0000 0.0000 0.5000
# Relative energy among the computed polymorphs: 51.6 meV per atom
# Total magnetic moment: 7.3 μB per cell
# Volume: 309 Å³ per cell